[1]
Computed, not measured: a relaxed structure of ZnRhPb at the PBE level of DFT.

Output
E_form = -0.07 eV per atom
Space group = Cm
ΔE to the lowest computed polymorph = 0 meV/atom
M_tot = 0.00 μB per formula unit

a b c (Å): 5.3560 5.3560 3.3979
angles (deg): 108.34 108.34 36.99
Last column: nearest neighbours and their distance in Å.
Sites, in units of the cell vectors:
Zn 0.0000 0.0000 0.0000  4 Rh 2.62, 1 Pb 2.84
Rh 0.6095 0.6095 0.6089  4 Zn 2.62
Pb 0.2961 0.2961 0.2957  5 Zn 2.84-3.10, 5 Rh 2.99-3.00

[2]
Computed, not measured: a relaxed structure of ZnRhPb2 at the PBE level of DFT.

Output
E_form = 0.02 eV per atom
Space group = Cm
M_tot = 0.00 μB per formula unit

a b c (Å): 4.6480 4.6480 6.2951
angles (deg): 102.70 102.70 45.19
Last column: nearest neighbours and their distance in Å.
Sites, in units of the cell vectors:
Zn 0.0000 0.0000 0.0000  3 Rh 2.57-2.60
Rh 0.7209 0.7209 0.0930  3 Zn 2.57-2.60, 2 Pb 2.87
Pb 0.2356 0.2356 0.7394  2 Rh 2.88, 3 Zn 2.89-3.04
Pb 0.4491 0.4491 0.3552  3 Rh 2.87-3.16, 2 Zn 2.97

[3]
Computed, not measured: a relaxed structure of ZnRhPb4 at the PBE level of DFT.

Output
E_form = 0.66 eV per atom
Space group = F-43m
M_tot = 0.00 μB per formula unit

a b c (Å): 6.2531 6.2531 6.2531
angles (deg): 60.00 60.00 60.00
Last column: nearest neighbours and their distance in Å.
Sites, in units of the cell vectors:
Zn 0.0000 0.0000 0.0000  12 Pb 3.67, 4 Rh 3.83
Rh 0.2500 0.2500 0.2500  12 Pb 3.66, 4 Zn 3.83
Pb 0.1269 0.6244 0.6244  6 Pb 3.11-3.14
Pb 0.6244 0.1269 0.6244  6 Pb 3.11-3.14
Pb 0.6244 0.6244 0.1269  6 Pb 3.11-3.14
Pb 0.6244 0.6244 0.6244  6 Pb 3.11-3.14

[4]
Computed, not measured: a relaxed structure of ZnRhPb at the PBE level of DFT.

Output
E_form = 0.09 eV per atom
Space group = P3m1
ΔE to the lowest computed polymorph = 157 meV/atom
M_tot = 0.00 μB per formula unit

a b c (Å): 3.2529 3.2529 6.4854
angles (deg): 90.00 90.00 120.00
Last column: nearest neighbours and their distance in Å.
Sites, in units of the cell vectors:
Zn 0.0000 0.0000 0.0000  3 Rh 2.57
Rh 0.3333 0.6667 0.7298  3 Zn 2.57, 3 Pb 2.83
Pb 0.6667 0.3333 0.4035  3 Rh 2.83

[5]
Computed, not measured: a relaxed structure of ZnRhPb at the PBE level of DFT.

Output
E_form = -0.05 eV per atom
Space group = F-43m
ΔE to the lowest computed polymorph = 22 meV/atom
M_tot = 0.00 μB per formula unit

a b c (Å): 4.4390 4.4390 4.4390
angles (deg): 60.00 60.00 60.00
Last column: nearest neighbours and their distance in Å.
Sites, in units of the cell vectors:
Zn 0.0000 0.0000 0.0000  4 Rh 2.72
Rh 0.2500 0.2500 0.2500  4 Pb 2.72, 4 Zn 2.72
Pb 0.5000 0.5000 0.5000  4 Rh 2.72

[6]
Computed, not measured: a relaxed structure of ZnRhPb2 at the PBE level of DFT.

Output
E_form = -0.01 eV per atom
Space group = Pm
M_tot = 0.00 μB per formula unit

a b c (Å): 3.8257 4.3766 5.4959
angles (deg): 90.00 110.33 90.00
Last column: nearest neighbours and their distance in Å.
Sites, in units of the cell vectors:
Zn 0.0000 0.0000 0.0000  2 Rh 2.60, 1 Pb 2.90
Rh 0.8616 0.5000 0.7258  2 Zn 2.60, 1 Pb 2.91
Pb 0.2798 0.0000 0.5632  3 Zn 2.90-2.96, 4 Rh 3.02-3.03
Pb 0.5759 0.5000 0.1524  3 Rh 2.91-2.96, 4 Zn 3.01